# 1
VASP calculation (PBE-GGA) on a relaxed structure of Li2Pr2HoPb2.

Lattice parameters (Å, degrees): 4.8545 4.8545 28.0107 90.00 90.00 120.00
Space group R-3m (No. 166, hexagonal axes)
Symmetry-distinct sites (fractional):
Li (0.0000, 0.0000, 0.1063)
Pr (0.0000, 0.0000, 0.3725)
Ho (0.0000, 0.0000, 0.5000)
Pb (0.0000, 0.0000, 0.2311)

Output
ΔE_f: -0.332 eV/atom
DFT total energy: -3.96 eV/atom

***

# 2
VASP calculation (PBE-GGA) on a relaxed structure of Li2PrHo2Pb2.

Lattice parameters (Å, degrees): 4.8811 4.8811 27.0545 90.00 90.00 120.00
Space group R-3m (No. 166, hexagonal axes)
Symmetry-distinct sites (fractional):
Li (0.0000, 0.0000, 0.0865)
Pr (0.0000, 0.0000, 0.5000)
Ho (0.0000, 0.0000, 0.3692)
Pb (0.0000, 0.0000, 0.2398)

Output
ΔE_f: -0.331 eV/atom
DFT total energy: -3.93 eV/atom